Computed, not measured: an optimized crystal structure of Ce2Fe17C at the PBE level of DFT.

```
Ce2Fe17C
1.0
4.838 -4.281 0.000
4.838 4.281 0.000
-1.011 0.000 6.381
Ce Fe C
2 17 1
direct
0.165 0.165 0.356
0.835 0.835 0.644
0.000 0.500 0.000
0.156 0.156 0.852
0.157 0.652 0.344
0.212 0.501 0.713
0.216 0.784 0.000
0.348 0.843 0.656
0.404 0.404 0.097
0.499 0.788 0.287
0.500 0.000 0.000
0.500 0.500 0.500
0.501 0.212 0.713
0.596 0.596 0.903
0.652 0.157 0.344
0.784 0.216 0.000
0.788 0.499 0.287
0.843 0.348 0.656
0.844 0.844 0.148
0.000 0.000 0.000
```

Properties
The formation enthalpy at 0 K is -0.29 eV per formula unit. The calculation puts the density of states at the Fermi level at 21.77 states/eV per cell.

=====

Computed, not measured: an optimized crystal structure of AgAu3 at the PBE level of DFT.

```
AgAu3
1.0
5.193 0.000 0.000
0.000 5.193 0.000
0.000 0.000 5.193
Ag Au
1 3
direct
0.000 0.000 0.000
0.000 0.000 0.500
0.000 0.500 0.000
0.500 0.000 0.000
```

Properties
The formation enthalpy at 0 K is 4.02 eV per formula unit. The calculation puts the density of states at the Fermi level at 2.53 states/eV per cell.

=====

Computed, not measured: an optimized crystal structure of CsCd2SbI at the PBE level of DFT.

```
CsCd2SbI
1.0
6.916 0.000 0.000
0.000 6.916 0.000
0.000 0.000 5.982
Cs Cd Sb I
1 2 1 1
direct
0.000 0.000 0.000
0.000 0.500 0.500
0.500 0.000 0.500
0.500 0.500 0.000
0.500 0.500 0.500
```

Properties
The calculation puts the density of states at the Fermi level at 1.59 states/eV per cell. For the uncorrected formation energy, the calculation gives 21.4 kJ per mole of atoms.

=====

Computed, not measured: an optimized crystal structure of CeNd4Ge4 at the PBE level of DFT.

```
CeNd4Ge4
1.0
-4.752 4.752 3.018
4.752 -4.752 3.018
4.752 4.752 -3.018
Ce Nd Ge
1 4 4
direct
0.000 0.000 0.000
0.197 0.599 0.796
0.401 0.197 0.598
0.599 0.803 0.402
0.803 0.401 0.204
0.099 0.291 0.390
0.291 0.901 0.191
0.709 0.099 0.809
0.901 0.709 0.610
```

Properties
The formation enthalpy at 0 K is -5.40 eV per formula unit. The calculation puts the density of states at the Fermi level at 8.73 states/eV per cell.

=====

Computed, not measured: an optimized crystal structure of LiGe2Pb2 at the PBE level of DFT.

```
LiGe2Pb2
1.0
7.245 0.000 0.000
0.000 7.245 0.000
0.000 0.000 4.682
Li Ge Pb
2 4 4
direct
0.000 0.000 0.000
0.500 0.500 0.000
0.124 0.376 0.000
0.376 0.876 0.000
0.624 0.124 0.000
0.876 0.624 0.000
0.183 0.683 0.500
0.317 0.183 0.500
0.683 0.817 0.500
0.817 0.317 0.500
```

Properties
The formation enthalpy at 0 K is 0.16 eV per formula unit. The calculation puts the density of states at the Fermi level at 4.53 states/eV per cell.

=====

Computed, not measured: an optimized crystal structure of Pm5NdAl2 at the PBE level of DFT.

```
Pm5NdAl2
1.0
5.436 0.000 0.000
-2.718 4.708 0.000
0.000 0.000 20.066
Pm Nd Al
10 2 4
direct
0.000 0.000 0.155
0.000 0.000 0.345
0.000 0.000 0.655
0.000 0.000 0.845
0.333 0.667 0.057
0.333 0.667 0.250
0.333 0.667 0.443
0.667 0.333 0.557
0.667 0.333 0.750
0.667 0.333 0.943
0.333 0.667 0.750
0.667 0.333 0.250
0.333 0.667 0.598
0.333 0.667 0.902
0.667 0.333 0.098
0.667 0.333 0.402
```

Properties
The formation enthalpy at 0 K is -0.01 eV per formula unit. The calculation puts the density of states at the Fermi level at 28.51 states/eV per cell.

=====

Size of the total moment values (in μB/cell) by entry order: 35.72; 0.00; 1.00; 0.88; 0.00; 0.00.
Energy values (in eV per atom) by entry order: -8.262; -2.166; -1.450; -5.430; -3.682; -4.502.